## ReTe2As (PBE-GGA)

Data for an optimized crystal structure of ReTe2As.

a = 8.8710 Å, b = 3.2394 Å, c = 7.5919 Å
α = 90.00°, β = 111.72°, γ = 90.00°
Closest atoms and distances in Å follow each position.
Space group Cm (No. 8)
Inequivalent atoms, fractional coordinates:
1 Re 0.0000 0.0000 0.0000  3 As 2.46-2.58
2 Te 0.1390 0.5000 0.3173  2 Re 2.78
3 Te 0.4616 0.0000 0.6851  2 Re 2.80
4 As 0.2899 0.0000 0.9979  3 Re 2.46-2.58

=====

## ReTe2As (PBE-GGA)

Data for an optimized crystal structure of ReTe2As.

a = 3.2442 Å, b = 5.2491 Å, c = 10.3375 Å
α = 90.00°, β = 90.00°, γ = 90.00°
Closest atoms and distances in Å follow each position.
Space group Cmmm (No. 65)
Inequivalent atoms, fractional coordinates:
1 Re 0.0000 0.0000 0.0000  4 Te 2.76, 4 Re 3.09
2 Te 0.0000 0.5000 0.2160  2 Re 2.76, 4 Te 3.09
3 As 0.0000 0.0000 0.5000  6 As 3.09-3.24, 4 Te 3.35

=====

| no. | raw total energy (eV per cell) | ΔE_f (raw) (eV per atom) |
| --- | --- | --- |
| 1 | -45.1 | 0.21 |
| 2 | -40.8 | 0.75 |